<1>
Material: TaCuNi4
Method: DFT, PBE-GGA
State: optimized geometry

POSCAR file:
```
TaCuNi4
1.0
4.685 0.000 0.000
2.343 4.058 0.000
2.343 1.353 3.826
Cu Ni Ta
1 4 1
direct
0.000 0.000 0.000
0.124 0.625 0.625
0.625 0.625 0.625
0.625 0.124 0.625
0.625 0.625 0.124
0.250 0.250 0.250
```

The size of the total moment is 0.00 μB/atom. The density of states at the Fermi level comes out at 3.36 states/eV/cell.



<2>
Material: TaCuNi4
Method: DFT, PBE-GGA
State: optimized geometry

POSCAR file:
```
TaCuNi4
1.0
4.705 -1.046 0.000
-1.278 4.855 0.000
0.000 0.000 7.030
Ta Cu Ni
2 2 8
direct
0.000 0.250 0.750
0.000 0.750 0.250
0.500 0.250 0.250
0.500 0.750 0.750
0.257 0.499 0.062
0.257 0.499 0.438
0.743 0.001 0.062
0.743 0.501 0.562
0.743 0.001 0.438
0.257 0.999 0.938
0.257 0.999 0.562
0.743 0.501 0.938
```

The size of the total moment is 0.00 μB/atom. The density of states at the Fermi level comes out at 8.11 states/eV/cell.



Result of the stability comparison: <2> is the least stable of them.



<1>
Material: TaCu2Ni2
Method: DFT, PBE-GGA
State: optimized geometry

POSCAR file:
```
TaCu2Ni2
1.0
6.787 0.000 0.000
0.000 6.787 0.000
0.000 0.000 2.775
Ni Cu Ta
4 4 2
direct
0.372 0.872 0.000
0.872 0.628 0.000
0.628 0.128 0.000
0.128 0.372 0.000
0.168 0.668 0.500
0.668 0.832 0.500
0.832 0.332 0.500
0.332 0.168 0.500
0.000 0.000 0.000
0.500 0.500 0.000
```

The size of the total moment is 0.00 μB/atom. The density of states at the Fermi level comes out at 17.98 states/eV/cell.



<2>
Material: TaCu2Ni2
Method: DFT, PBE-GGA
State: optimized geometry

POSCAR file:
```
TaCu2Ni2
1.0
-3.810 -5.705 0.374
1.603 -1.497 -6.511
2.156 -1.384 0.849
Ni Cu Ta
4 4 2
direct
0.175 0.675 0.500
0.675 0.825 0.500
0.825 0.325 0.500
0.325 0.175 0.500
0.377 0.877 0.000
0.877 0.623 0.000
0.623 0.123 0.000
0.123 0.377 0.000
0.000 0.000 0.000
0.500 0.500 0.000
```

The size of the total moment is 0.00 μB/atom. The density of states at the Fermi level comes out at 8.21 states/eV/cell.



Result of the stability comparison: <1> is the least stable of them.



<1>
Material: TaCu3Ni
Method: DFT, PBE-GGA
State: optimized geometry

POSCAR file:
```
TaCu3Ni
1.0
-2.025 1.616 -3.935
-3.029 -3.607 0.077
-2.987 2.563 2.589
Ni Cu Ta
1 3 1
direct
0.500 0.500 0.500
0.000 0.500 0.000
0.000 0.000 0.500
0.500 0.000 0.000
0.000 0.000 0.000
```

The size of the total moment is 0.20 μB/atom. The density of states at the Fermi level comes out at 8.17 states/eV/cell.



<2>
Material: TaCu3Ni
Method: DFT, PBE-GGA
State: optimized geometry

POSCAR file:
```
TaCu3Ni
1.0
4.263 0.000 0.000
0.000 4.263 0.000
0.000 0.000 4.263
Ni Cu Ta
1 3 1
direct
0.000 0.000 0.000
0.000 0.500 0.000
0.000 0.000 0.500
0.500 0.000 0.000
0.500 0.500 0.500
```

The size of the total moment is 0.00 μB/atom. The density of states at the Fermi level comes out at 5.53 states/eV/cell.



Result of the stability comparison: <1> is the least stable of them.